This record from Alexandria describes a relaxed FeO2F8 crystal. The functional is PBE with a Hubbard U.

Cell: 5.435 5.746 5.746 Å, 67.72 87.90 87.90°
Each line ends with the local moment (μB).
Fractional coordinates of all 11 atoms:
Fe1 0.000 0.000 0.000  3.78
O1 0.357 0.224 0.224  1.01
O2 0.643 0.776 0.776  1.01
F1 0.798 0.131 0.706  0.31
F2 0.202 0.294 0.869  0.31
F3 0.807 0.155 0.155  -0.01
F4 0.193 0.845 0.845  -0.01
F5 0.798 0.706 0.131  0.31
F6 0.202 0.869 0.294  0.31
F7 0.242 0.351 0.351  0.23
F8 0.758 0.649 0.649  0.23

## Properties
SG: C2/m
E_tot: -0.256 Ry per atom
Size of the total moment: 7.98 μB per formula unit